[1]
DFT (PBE) results for an optimized crystal structure of RbNa2Sn8.

Properties
N(E_F): 3.0 states/eV/cell
energy of formation from the pure elements: -0.10 eV/atom
total moment: 0.0 Bohr magnetons per cell
raw total energy: -36.7 eV/cell

Lattice parameters (Å, degrees): 9.036 9.036 6.952 103.68 103.68 128.99
Fractional positions:
Rb 0.000 0.000 0.000
Na 0.347 0.653 0.500
Na 0.653 0.347 0.500
Sn 0.018 0.326 0.740
Sn 0.223 0.777 0.000
Sn 0.326 0.018 0.740
Sn 0.378 0.378 0.748
Sn 0.622 0.622 0.252
Sn 0.674 0.982 0.260
Sn 0.777 0.223 0.000
Sn 0.982 0.674 0.260

=====

[2]
DFT (PBE) results for an optimized crystal structure of Pm2TlRu.

Properties
N(E_F): 2.5 states/eV/cell
energy of formation from the pure elements: -0.17 eV/atom
total moment: 0.0 Bohr magnetons per cell
raw total energy: -21.8 eV/cell

Lattice parameters (Å, degrees): 5.215 5.215 5.215 60.00 60.00 60.00
Fractional positions:
Pm 0.250 0.250 0.250
Pm 0.750 0.750 0.750
Tl 0.000 0.000 0.000
Ru 0.500 0.500 0.500